Record 1
# PBE with a Hubbard U MnHPbF2, relaxed
# - E: -4.71 eV per atom
# - Crystal system: tetragonal
# - Magnetization: 4.012 μB per cell
data_MnHPbF2
_symmetry_space_group_name_H-M 'P 4/m m m'
_symmetry_Int_Tables_number 123
_symmetry_space_group_name_Hall '-P 4 2'
_cell_length_a 3.9154
_cell_length_b 3.9154
_cell_length_c 6.3758
_cell_angle_alpha 90.00
_cell_angle_beta 90.00
_cell_angle_gamma 90.00
loop_
_atom_site_label
_atom_site_type_symbol
_atom_site_fract_x
_atom_site_fract_y
_atom_site_fract_z
_atom_site_occupancy
Mn1 Mn 0.0000 0.0000 0.0000 1
H1 H 0.5000 0.5000 0.5000 1
Pb1 Pb 0.0000 0.0000 0.5000 1
F1 F 0.0000 0.5000 0.0000 1


Record 2
# PBE with a Hubbard U MnH2PbF8, relaxed
# - E: -4.75 eV per atom
# - Crystal system: triclinic
# - Magnetization: 2.993 μB per cell
data_MnH2PbF8
_symmetry_space_group_name_H-M 'P -1'
_symmetry_Int_Tables_number 2
_cell_length_a 5.1046
_cell_length_b 5.1235
_cell_length_c 7.0046
_cell_angle_alpha 82.50
_cell_angle_beta 81.49
_cell_angle_gamma 65.53
loop_
_symmetry_equiv_pos_as_xyz
'x,y,z'
'-x,-y,-z'
loop_
_atom_site_label
_atom_site_type_symbol
_atom_site_fract_x
_atom_site_fract_y
_atom_site_fract_z
_atom_site_occupancy
Mn1 Mn 0.0000 0.0000 0.0000 1
H1 H 0.2700 0.2681 0.7354 1
Pb1 Pb 0.0000 0.0000 0.5000 1
F1 F 0.2184 0.2158 0.9300 1
F2 F 0.2180 0.7612 0.8076 1
F3 F 0.2386 0.7822 0.1871 1
F4 F 0.2930 0.2885 0.5866 1


Record 3
# PBE with a Hubbard U Rb2MnH2F6, relaxed
# - E: -4.76 eV per atom
# - Crystal system: monoclinic
# - Magnetization: 10.000 μB per cell
data_Rb2MnH2F6
_symmetry_space_group_name_H-M 'C 1 2/m 1'
_symmetry_Int_Tables_number 12
_cell_length_a 9.5965
_cell_length_b 5.9676
_cell_length_c 6.8087
_cell_angle_alpha 90.00
_cell_angle_beta 124.77
_cell_angle_gamma 90.00
loop_
_symmetry_equiv_pos_as_xyz
'x,y,z'
'-x,-y,-z'
'-x,y,-z'
'x,-y,z'
'x+1/2,y+1/2,z'
'-x+1/2,-y+1/2,-z'
'-x+1/2,y+1/2,-z'
'x+1/2,-y+1/2,z'
loop_
_atom_site_label
_atom_site_type_symbol
_atom_site_fract_x
_atom_site_fract_y
_atom_site_fract_z
_atom_site_occupancy
Rb1 Rb 0.2345 0.0000 0.1971 1
Mn1 Mn 0.0000 0.0000 0.5000 1
H1 H 0.1116 0.5000 0.2478 1
F1 F 0.0163 0.2460 0.2977 1
F2 F 0.1995 0.5000 0.2167 1


Record 4
# PBE with a Hubbard U RbMnH2F8, relaxed
# - E: -4.41 eV per atom
# - Crystal system: triclinic
# - Magnetization: 1.980 μB per cell
data_RbMnH2F8
_symmetry_space_group_name_H-M 'P -1'
_symmetry_Int_Tables_number 2
_cell_length_a 4.7344
_cell_length_b 4.8508
_cell_length_c 7.8722
_cell_angle_alpha 96.37
_cell_angle_beta 91.41
_cell_angle_gamma 108.95
loop_
_symmetry_equiv_pos_as_xyz
'x,y,z'
'-x,-y,-z'
loop_
_atom_site_label
_atom_site_type_symbol
_atom_site_fract_x
_atom_site_fract_y
_atom_site_fract_z
_atom_site_occupancy
Rb1 Rb 0.0000 0.0000 0.0000 1
Mn1 Mn 0.0000 0.0000 0.5000 1
H1 H 0.4557 0.6764 0.2132 1
F1 F 0.1694 0.7079 0.5252 1
F2 F 0.2427 0.2245 0.6858 1
F3 F 0.2840 0.1526 0.3537 1
F4 F 0.3085 0.6267 0.1163 1


Record 5
# PBE with a Hubbard U Sr2MnHF, relaxed
# - E: -3.78 eV per atom
# - Crystal system: tetragonal
# - Magnetization: 4.402 μB per cell
data_Sr2MnHF
_symmetry_space_group_name_H-M 'P 4/m m m'
_symmetry_Int_Tables_number 123
_symmetry_space_group_name_Hall '-P 4 2'
_cell_length_a 5.6755
_cell_length_b 5.6755
_cell_length_c 3.7735
_cell_angle_alpha 90.00
_cell_angle_beta 90.00
_cell_angle_gamma 90.00
loop_
_atom_site_label
_atom_site_type_symbol
_atom_site_fract_x
_atom_site_fract_y
_atom_site_fract_z
_atom_site_occupancy
Sr1 Sr 0.0000 0.5000 0.0000 1
Mn1 Mn 0.0000 0.0000 0.5000 1
H1 H 0.0000 0.0000 0.0000 1
F1 F 0.5000 0.5000 0.5000 1


Record 6
# PBE with a Hubbard U MoHF2, relaxed
# - E above lowest polymorph: 0.0 kJ/mol of atoms
# - Crystal system: trigonal
# - Magnetization: 11.373 μB per cell
data_MoHF2
_symmetry_space_group_name_H-M 'R -3 m'
_symmetry_Int_Tables_number 166
_symmetry_space_group_name_Hall '-R 3 2"'
_cell_length_a 3.1256
_cell_length_b 3.1256
_cell_length_c 18.5934
_cell_angle_alpha 90.00
_cell_angle_beta 90.00
_cell_angle_gamma 120.00
loop_
_atom_site_label
_atom_site_type_symbol
_atom_site_fract_x
_atom_site_fract_y
_atom_site_fract_z
_atom_site_occupancy
Mo1 Mo 0.0000 0.0000 0.0000 1
H1 H 0.0000 0.0000 0.5000 1
F1 F 0.0000 0.0000 0.4381 1


Record 7
# PBE with a Hubbard U MoHF2, relaxed
# - E above lowest polymorph: 14.2 kJ/mol of atoms
# - Crystal system: cubic
# - Magnetization: 12.000 μB per cell
data_MoHF2
_symmetry_space_group_name_H-M 'F m -3 m'
_symmetry_Int_Tables_number 225
_symmetry_space_group_name_Hall '-F 4 2 3'
_cell_length_a 5.5073
_cell_length_b 5.5073
_cell_length_c 5.5073
_cell_angle_alpha 90.00
_cell_angle_beta 90.00
_cell_angle_gamma 90.00
loop_
_atom_site_label
_atom_site_type_symbol
_atom_site_fract_x
_atom_site_fract_y
_atom_site_fract_z
_atom_site_occupancy
Mo1 Mo 0.0000 0.0000 0.0000 1
H1 H 0.0000 0.0000 0.5000 1
F1 F 0.2500 0.2500 0.2500 1


Record 8
# PBE with a Hubbard U MoHF3, relaxed
# - E: -4.11 eV per atom
# - Crystal system: cubic
# - Magnetization: 3.965 μB per cell
data_MoHF3
_symmetry_space_group_name_H-M 'P m -3 m'
_symmetry_Int_Tables_number 221
_symmetry_space_group_name_Hall '-P 4 2 3'
_cell_length_a 3.6270
_cell_length_b 3.6270
_cell_length_c 3.6270
_cell_angle_alpha 90.00
_cell_angle_beta 90.00
_cell_angle_gamma 90.00
loop_
_atom_site_label
_atom_site_type_symbol
_atom_site_fract_x
_atom_site_fract_y
_atom_site_fract_z
_atom_site_occupancy
Mo1 Mo 0.0000 0.0000 0.0000 1
H1 H 0.5000 0.5000 0.5000 1
F1 F 0.0000 0.5000 0.5000 1


Number 1: D(E_F) 0.276 states/eV per atom. Number 2: D(E_F) 0.000 states/eV per atom. Number 3: D(E_F) 0.000 states/eV per atom. Number 4: D(E_F) 0.253 states/eV per atom. Number 5: D(E_F) 0.676 states/eV per atom. Number 6: D(E_F) 0.190 states/eV per atom. Number 7: D(E_F) 0.617 states/eV per atom. Number 8: D(E_F) 0.848 states/eV per atom.